No. 1
VASP calculation (PBE) on a geometry-optimized SnPPtS2 structure.

Values from the calculation:
energy relative to the elements, uncorrected: 1227.7 meV/atom
crystal system: tetragonal
M_tot: 0.42 Bohr magnetons per cell
DOS at the Fermi energy: 7.683 states/eV/cell

a = 4.851 Å, b = 4.851 Å, c = 5.076 Å
α = 90.00°, β = 90.00°, γ = 90.00°
Space group P4/mmm (No. 123)
Asymmetric unit:
Sn: 0.000 0.000 0.000 x1
P: 0.000 0.000 0.500 x1
Pt: 0.500 0.500 0.500 x1
S: 0.000 0.500 0.000 x2

No. 2
VASP calculation (PBE) on a geometry-optimized Ac2Pm3Pb4 structure.

Values from the calculation:
energy of formation: -611 meV/atom
crystal system: monoclinic
M_tot: 0.00 Bohr magnetons per cell
DOS at the Fermi energy: 15.330 states/eV/cell

a = 8.775 Å, b = 8.764 Å, c = 8.557 Å
α = 90.00°, β = 110.89°, γ = 90.00°
Space group P2_1/c (No. 14)
Asymmetric unit:
Ac: 0.193 0.178 0.061 x4
Pm: 0.247 0.661 0.243 x4
Pm: 0.500 0.000 0.500 x2
Pb: 0.087 0.543 0.842 x4
Pb: 0.496 0.138 0.862 x4

No. 3
VASP calculation (PBE) on a geometry-optimized Sr2PrHg3 structure.

Values from the calculation:
energy of formation: -511 meV/atom
crystal system: orthorhombic
M_tot: 0.00 Bohr magnetons per cell
DOS at the Fermi energy: 20.201 states/eV/cell

a = 5.568 Å, b = 16.701 Å, c = 7.975 Å
α = 90.00°, β = 90.00°, γ = 90.00°
Space group Cmmm (No. 65)
Asymmetric unit:
Sr: 0.000 0.000 0.000 x2
Sr: 0.000 0.000 0.500 x2
Sr: 0.000 0.334 0.000 x4
Pr: 0.000 0.335 0.500 x4
Hg: 0.000 0.171 0.266 x8
Hg: 0.000 0.500 0.260 x4